Material: ScSb3Br
Method: DFT, PBE-GGA
State: relaxed

Geometry as CIF:
```
data_ScSb3Br
_space_group_name_H-M_alt 'P 1'
_space_group_IT_number 1
_cell_length_a 5.474
_cell_length_b 5.474
_cell_length_c 5.474
_cell_angle_alpha 90.00
_cell_angle_beta 90.00
_cell_angle_gamma 90.00
loop_
_space_group_symop_operation_xyz
'x,y,z'
loop_
_atom_site_label
_atom_site_type_symbol
_atom_site_fract_x
_atom_site_fract_y
_atom_site_fract_z
Sc1 Sc 0.000 0.000 0.000
Sb1 Sb 0.000 0.000 0.500
Sb2 Sb 0.000 0.500 0.000
Sb3 Sb 0.500 0.000 0.000
Br1 Br 0.500 0.500 0.500
```

## Properties
**E_tot**: -19.86 eV/f.u.
**Offset from the most stable computed form**: 0 meV/atom
**Formation energy (no corrections)**: 0.1029 eV/atom
**SG**: Pm-3m, No. 221